1.
A geometry-optimized GdTmCuPb structure, computed with PBE-GGA.

abc: 7.340 7.340 7.340
angles: 90.00 90.00 90.00
Positions (direct):
Gd  0.000  0.000  0.000
Gd  0.000  0.500  0.500
Gd  0.500  0.000  0.500
Gd  0.500  0.500  0.000
Tm  0.000  0.000  0.500
Tm  0.000  0.500  0.000
Tm  0.500  0.000  0.000
Tm  0.500  0.500  0.500
Cu  0.250  0.250  0.750
Cu  0.250  0.750  0.250
Cu  0.750  0.250  0.250
Cu  0.750  0.750  0.750
Pb  0.250  0.250  0.250
Pb  0.250  0.750  0.750
Pb  0.750  0.250  0.750
Pb  0.750  0.750  0.250

Results
energy relative to the elements = -0.301 eV/atom
space group = F-43m
VASP energy = -6.890 eV/atom

2.
A geometry-optimized Tb7Y12Th structure, computed with PBE-GGA.

abc: 9.771 9.771 9.771
angles: 109.47 109.47 109.47
Positions (direct):
Tb  0.000  0.000  0.500
Tb  0.000  0.500  0.000
Tb  0.000  0.500  0.500
Tb  0.500  0.000  0.000
Tb  0.500  0.000  0.500
Tb  0.500  0.500  0.000
Tb  0.500  0.500  0.500
Y  0.000  0.247  0.753
Y  0.000  0.753  0.247
Y  0.247  0.000  0.753
Y  0.247  0.247  0.495
Y  0.247  0.495  0.247
Y  0.247  0.753  0.000
Y  0.495  0.247  0.247
Y  0.505  0.753  0.753
Y  0.753  0.000  0.247
Y  0.753  0.247  0.000
Y  0.753  0.505  0.753
Y  0.753  0.753  0.505
Th  0.000  0.000  0.000

Results
energy relative to the elements = 0.723 eV/atom
space group = Im-3m
VASP energy = -5.147 eV/atom

3.
A geometry-optimized HfIrPb2 structure, computed with PBE-GGA.

abc: 7.004 7.004 7.004
angles: 90.00 90.00 90.00
Positions (direct):
Hf  0.000  0.000  0.000
Hf  0.000  0.500  0.500
Hf  0.500  0.000  0.500
Hf  0.500  0.500  0.000
Ir  0.000  0.000  0.500
Ir  0.000  0.500  0.000
Ir  0.500  0.000  0.000
Ir  0.500  0.500  0.500
Pb  0.250  0.250  0.250
Pb  0.250  0.250  0.750
Pb  0.250  0.750  0.250
Pb  0.250  0.750  0.750
Pb  0.750  0.250  0.250
Pb  0.750  0.250  0.750
Pb  0.750  0.750  0.250
Pb  0.750  0.750  0.750

Results
energy relative to the elements = 0.393 eV/atom
space group = Fm-3m
relative energy among the computed polymorphs = 51 meV/atom
VASP energy = -6.165 eV/atom

4.
A geometry-optimized SrAc2Sn3Pd4 structure, computed with PBE-GGA.

abc: 4.746 4.746 11.364
angles: 90.00 90.00 90.00
Positions (direct):
Sr  0.000  0.000  0.000
Ac  0.000  0.500  0.721
Ac  0.500  0.000  0.279
Sn  0.000  0.500  0.383
Sn  0.500  0.000  0.617
Sn  0.500  0.500  0.000
Pd  0.000  0.000  0.500
Pd  0.000  0.500  0.151
Pd  0.500  0.000  0.849
Pd  0.500  0.500  0.500

Results
energy relative to the elements = -0.761 eV/atom
space group = P-4m2
VASP energy = -5.029 eV/atom

5.
A geometry-optimized ZrWN2 structure, computed with PBE-GGA.

abc: 4.728 4.728 10.026
angles: 90.00 90.00 90.00
Positions (direct):
Zr  0.000  0.000  0.000
Zr  0.000  0.500  0.250
Zr  0.500  0.000  0.750
Zr  0.500  0.500  0.500
W  0.000  0.000  0.500
W  0.000  0.500  0.750
W  0.500  0.000  0.250
W  0.500  0.500  0.000
N  0.213  0.250  0.625
N  0.250  0.713  0.875
N  0.250  0.787  0.375
N  0.287  0.250  0.125
N  0.713  0.750  0.125
N  0.750  0.213  0.375
N  0.750  0.287  0.875
N  0.787  0.750  0.625

Results
formation energy without anion corrections = -237.8 kJ/mol of formula units
space group = I-42d
relative energy among the computed polymorphs = 0 meV/atom
VASP energy = -10.154 eV/atom

6.
A geometry-optimized RbPmVBr6 structure, computed with PBE-GGA.

abc: 7.161 7.161 15.594
angles: 90.00 90.00 120.00
Positions (direct):
Rb  0.000  0.000  0.000
Rb  0.000  0.000  0.500
Pm  0.333  0.667  0.250
Pm  0.667  0.333  0.750
V  0.333  0.667  0.750
V  0.667  0.333  0.250
Br  0.024  0.379  0.648
Br  0.024  0.645  0.852
Br  0.355  0.379  0.852
Br  0.355  0.976  0.648
Br  0.379  0.024  0.148
Br  0.379  0.355  0.352
Br  0.621  0.645  0.648
Br  0.621  0.976  0.852
Br  0.645  0.024  0.352
Br  0.645  0.621  0.148
Br  0.976  0.355  0.148
Br  0.976  0.621  0.352

Results
formation energy without anion corrections = -1301.5 kJ/mol of formula units
space group = P-31c
VASP energy = -4.263 eV/atom

7.
A geometry-optimized TmScTl2Te4 structure, computed with PBE-GGA.

abc: 7.512 4.340 8.534
angles: 90.00 107.05 90.00
Positions (direct):
Tm  0.000  0.000  0.000
Sc  0.500  0.500  0.000
Tl  0.000  0.500  0.500
Tl  0.500  0.000  0.500
Te  0.244  0.500  0.209
Te  0.273  0.000  0.796
Te  0.727  0.000  0.204
Te  0.756  0.500  0.791

Results
formation energy without anion corrections = -750.1 kJ/mol of formula units
space group = P2/m
VASP energy = -4.485 eV/atom

8.
A geometry-optimized KYCl structure, computed with PBE-GGA.

abc: 3.765 6.542 16.307
angles: 90.00 90.00 90.00
Positions (direct):
K  0.000  0.000  0.000
K  0.000  0.500  0.500
K  0.500  0.000  0.500
K  0.500  0.500  0.000
Y  0.000  0.000  0.285
Y  0.000  0.500  0.785
Y  0.500  0.000  0.785
Y  0.500  0.500  0.285
Cl  0.000  0.000  0.654
Cl  0.000  0.500  0.154
Cl  0.500  0.000  0.154
Cl  0.500  0.500  0.654

Results
formation energy without anion corrections = -221.8 kJ/mol of formula units
space group = Fmm2
relative energy among the computed polymorphs = 71 meV/atom
VASP energy = -3.902 eV/atom

9.
A geometry-optimized TmMgAg4 structure, computed with PBE-GGA.

abc: 9.785 3.639 7.097
angles: 90.00 110.61 90.00
Positions (direct):
Tm  0.000  0.000  0.000
Tm  0.500  0.500  0.000
Mg  0.000  0.000  0.500
Mg  0.500  0.500  0.500
Ag  0.164  0.500  0.344
Ag  0.169  0.500  0.821
Ag  0.331  0.000  0.179
Ag  0.336  0.000  0.656
Ag  0.664  0.000  0.344
Ag  0.669  0.000  0.821
Ag  0.831  0.500  0.179
Ag  0.836  0.500  0.656

Results
energy relative to the elements = -0.222 eV/atom
space group = C2/m
relative energy among the computed polymorphs = 3 meV/atom
VASP energy = -3.134 eV/atom

10.
A geometry-optimized Li2CaHo structure, computed with PBE-GGA.

abc: 3.793 3.793 7.724
angles: 90.00 90.00 90.00
Positions (direct):
Li  0.000  0.000  0.235
Li  0.000  0.000  0.765
Ca  0.500  0.500  0.500
Ho  0.500  0.500  0.000

Results
energy relative to the elements = 0.109 eV/atom
space group = P4/mmm
relative energy among the computed polymorphs = 0 meV/atom
VASP energy = -2.493 eV/atom

11.
A geometry-optimized LiCeAs structure, computed with PBE-GGA.

abc: 4.210 4.210 7.622
angles: 90.00 90.00 90.00
Positions (direct):
Li  0.250  0.250  0.126
Li  0.750  0.750  0.874
Ce  0.250  0.750  0.500
Ce  0.750  0.250  0.500
As  0.250  0.250  0.779
As  0.750  0.750  0.221

Results
energy relative to the elements = -0.620 eV/atom
space group = P4/nmm
relative energy among the computed polymorphs = 275 meV/atom
VASP energy = -4.786 eV/atom

12.
A geometry-optimized Ac2Ir2O7 structure, computed with PBE-GGA.

abc: 7.613 7.613 7.613
angles: 60.00 60.00 60.00
Positions (direct):
Ac  0.000  0.000  0.000
Ac  0.000  0.000  0.500
Ac  0.000  0.500  0.000
Ac  0.500  0.000  0.000
Ir  0.000  0.500  0.500
Ir  0.500  0.000  0.500
Ir  0.500  0.500  0.000
Ir  0.500  0.500  0.500
O  0.125  0.125  0.125
O  0.174  0.174  0.576
O  0.174  0.576  0.174
O  0.174  0.576  0.576
O  0.424  0.424  0.826
O  0.424  0.826  0.424
O  0.424  0.826  0.826
O  0.576  0.174  0.174
O  0.576  0.174  0.576
O  0.576  0.576  0.174
O  0.826  0.424  0.424
O  0.826  0.424  0.826
O  0.826  0.826  0.424
O  0.875  0.875  0.875

Results
formation energy without anion corrections = -2045.3 kJ/mol of formula units
space group = Fd-3m
VASP energy = -7.440 eV/atom

13.
A geometry-optimized MnFe2Ni structure, computed with PBE-GGA.

abc: 3.517 3.517 7.349
angles: 90.00 90.00 90.00
Positions (direct):
Mn  0.000  0.000  0.000
Mn  0.500  0.500  0.500
Fe  0.000  0.500  0.250
Fe  0.000  0.500  0.750
Fe  0.500  0.000  0.250
Fe  0.500  0.000  0.750
Ni  0.000  0.000  0.500
Ni  0.500  0.500  0.000

Results
energy relative to the elements = -0.018 eV/atom
space group = I4/mmm
VASP energy = -7.987 eV/atom

14.
A geometry-optimized La3HgO structure, computed with PBE-GGA.

abc: 12.941 12.941 12.941
angles: 155.80 155.80 34.48
Positions (direct):
La  0.195  0.195  0.000
La  0.374  0.622  0.752
La  0.378  0.130  0.752
La  0.378  0.626  0.248
La  0.805  0.805  0.000
La  0.870  0.622  0.248
Hg  0.250  0.750  0.500
Hg  0.500  0.500  0.000
O  0.658  0.158  0.500
O  0.842  0.342  0.500

Results
formation energy without anion corrections = -52.4 kJ/mol of formula units
space group = I-4m2
relative energy among the computed polymorphs = 1255 meV/atom
VASP energy = -4.117 eV/atom

15.
A geometry-optimized CdRe2W structure, computed with PBE-GGA.

abc: 6.388 6.388 6.388
angles: 90.00 90.00 90.00
Positions (direct):
Cd  0.000  0.000  0.000
Cd  0.000  0.500  0.500
Cd  0.500  0.000  0.500
Cd  0.500  0.500  0.000
Re  0.000  0.000  0.500
Re  0.000  0.500  0.000
Re  0.250  0.250  0.750
Re  0.250  0.750  0.250
Re  0.500  0.000  0.000
Re  0.500  0.500  0.500
Re  0.750  0.250  0.250
Re  0.750  0.750  0.750
W  0.250  0.250  0.250
W  0.250  0.750  0.750
W  0.750  0.250  0.750
W  0.750  0.750  0.250

Results
energy relative to the elements = 0.703 eV/atom
space group = F-43m
VASP energy = -8.988 eV/atom

16.
A geometry-optimized SrSm5Mg4 structure, computed with PBE-GGA.

abc: 3.877 3.877 20.819
angles: 90.00 90.00 90.00
Positions (direct):
Sr  0.000  0.000  0.000
Sm  0.500  0.500  0.138
Sm  0.500  0.500  0.316
Sm  0.500  0.500  0.500
Sm  0.500  0.500  0.684
Sm  0.500  0.500  0.862
Mg  0.000  0.000  0.227
Mg  0.000  0.000  0.408
Mg  0.000  0.000  0.592
Mg  0.000  0.000  0.773

Results
energy relative to the elements = -0.037 eV/atom
space group = P4/mmm
VASP energy = -3.203 eV/atom

17.
A geometry-optimized CaAlVRh2 structure, computed with PBE-GGA.

abc: 4.587 4.587 4.734
angles: 90.00 90.00 90.00
Positions (direct):
Ca  0.000  0.000  0.000
Al  0.500  0.500  0.500
V  0.500  0.500  0.000
Rh  0.000  0.500  0.500
Rh  0.500  0.000  0.500

Results
energy relative to the elements = 0.224 eV/atom
space group = P4/mmm
VASP energy = -5.689 eV/atom

18.
A geometry-optimized BaV2OsAu structure, computed with PBE-GGA.

abc: 4.782 4.782 5.816
angles: 90.00 90.00 90.00
Positions (direct):
Ba  0.000  0.000  0.000
V  0.000  0.500  0.500
V  0.500  0.000  0.500
Os  0.500  0.500  0.000
Au  0.000  0.000  0.500

Results
energy relative to the elements = 1.999 eV/atom
space group = P4/mmm
VASP energy = -4.934 eV/atom

19.
A geometry-optimized NaZr2F2 structure, computed with PBE-GGA.

abc: 9.395 9.395 2.827
angles: 90.00 90.00 90.00
Positions (direct):
Na  0.000  0.000  0.000
Na  0.500  0.500  0.000
Zr  0.114  0.386  0.000
Zr  0.386  0.886  0.000
Zr  0.614  0.114  0.000
Zr  0.886  0.614  0.000
F  0.241  0.259  0.500
F  0.259  0.759  0.500
F  0.741  0.241  0.500
F  0.759  0.741  0.500

Results
formation energy without anion corrections = -390.9 kJ/mol of formula units
space group = P4/mbm
relative energy among the computed polymorphs = 250 meV/atom
VASP energy = -5.242 eV/atom

20.
A geometry-optimized KFeCo3 structure, computed with PBE-GGA.

abc: 4.518 4.518 4.518
angles: 90.00 90.00 90.00
Positions (direct):
K  0.000  0.000  0.000
Fe  0.500  0.500  0.500
Co  0.000  0.500  0.500
Co  0.500  0.000  0.500
Co  0.500  0.500  0.000

Results
energy relative to the elements = 1.145 eV/atom
space group = Pm-3m
relative energy among the computed polymorphs = 0 meV/atom
VASP energy = -5.030 eV/atom